# 1
Here is an optimized crystal structure of Sc2CF from Alexandria via LeMat-Bulk. Energies are from GGA-PBE.

POSCAR file:
```
Sc2CF
1.0
3.288 0.000 0.000
1.644 2.848 0.000
1.644 0.949 5.877
F C Sc
1 1 2
Direct
0.496 0.496 0.513
0.669 0.669 0.993
0.068 0.068 0.796
0.267 0.267 0.198
```

Computed properties:
Formation energy without anion corrections, eV/atom: -1.575
Excess energy over the best structure of this formula in the dataset, meV per atom: 37.3
E_tot, eV/atom: -7.51
ρ, g/cm3: 3.648

# 2
Here is an optimized crystal structure of Sc2CF from Alexandria via LeMat-Bulk. Energies are from GGA-PBE.

POSCAR file:
```
Sc2CF
1.0
-2.305 1.213 2.027
-3.795 -0.128 -4.239
-1.505 -5.380 1.510
Sc F C
4 2 2
Direct
0.750 0.993 0.785
0.250 0.007 0.215
0.250 0.493 0.215
0.750 0.507 0.785
0.750 0.750 0.420
0.250 0.250 0.580
0.750 0.250 0.094
0.250 0.750 0.906
```

Computed properties:
Formation energy without anion corrections, eV/atom: -1.417
Excess energy over the best structure of this formula in the dataset, meV per atom: 195.3
E_tot, eV/atom: -7.36
ρ, g/cm3: 3.694

# 3
Here is an optimized crystal structure of Sc2CF from Alexandria via LeMat-Bulk. Energies are from GGA-PBE.

POSCAR file:
```
Sc2CF
1.0
4.997 0.000 0.000
0.000 4.997 0.000
2.499 2.499 5.188
Sc C F
4 2 2
Direct
0.146 0.625 0.250
0.604 0.125 0.250
0.375 0.396 0.750
0.875 0.854 0.750
0.500 0.500 0.000
0.250 0.750 0.500
0.000 0.000 0.000
0.750 0.250 0.500
```

Computed properties:
Formation energy without anion corrections, eV/atom: -1.328
Excess energy over the best structure of this formula in the dataset, meV per atom: 284.2
E_tot, eV/atom: -7.27
ρ, g/cm3: 3.100

# 4
Here is an optimized crystal structure of Sc2CF from Alexandria via LeMat-Bulk. Energies are from GGA-PBE.

POSCAR file:
```
Sc2CF
1.0
0.000 2.886 2.886
2.886 0.000 2.886
2.886 2.886 0.000
Sc F C
2 1 1
Direct
0.250 0.250 0.250
0.750 0.750 0.750
0.500 0.500 0.500
0.000 0.000 0.000
```

Computed properties:
Formation energy without anion corrections, eV/atom: -1.093
Excess energy over the best structure of this formula in the dataset, meV per atom: 518.8
E_tot, eV/atom: -7.03
ρ, g/cm3: 4.175